# GaMo3Rh, optimized geometry, DFT PBE
# final energy = -7.015 eV/atom
# ΔE to the lowest computed polymorph = 0.0000 eV per atom
# energy of formation = 1559 meV per atom
data_GaMo3Rh
_chemical_formula_sum 'Ga1 Mo3 Rh1'
_cell_length_a 4.526
_cell_length_b 4.526
_cell_length_c 4.526
_cell_angle_alpha 90.00
_cell_angle_beta 90.00
_cell_angle_gamma 90.00
_space_group_name_H-M_alt 'P m -3 m'
_space_group_IT_number 221
_space_group_name_Hall '-P 4 2 3'
loop_
_atom_site_label
_atom_site_type_symbol
_atom_site_fract_x
_atom_site_fract_y
_atom_site_fract_z
_atom_site_occupancy
Ga1 Ga 0.000 0.000 0.000 1
Mo1 Mo 0.000 0.000 0.500 1
Rh1 Rh 0.500 0.500 0.500 1

---

# CaTlCo, optimized geometry, DFT PBE
# final energy = -3.587 eV/atom
# energy of formation = 237 meV per atom
data_CaTlCo
_chemical_formula_sum 'Ca4 Tl4 Co4'
_cell_length_a 6.532
_cell_length_b 6.532
_cell_length_c 6.532
_cell_angle_alpha 90.00
_cell_angle_beta 90.00
_cell_angle_gamma 90.00
_space_group_name_H-M_alt 'F -4 3 m'
_space_group_IT_number 216
_space_group_name_Hall 'F -4 2 3'
loop_
_atom_site_label
_atom_site_type_symbol
_atom_site_fract_x
_atom_site_fract_y
_atom_site_fract_z
_atom_site_occupancy
Ca1 Ca 0.000 0.000 0.000 1
Tl1 Tl 0.000 0.000 0.500 1
Co1 Co 0.250 0.250 0.750 1

---

# ScZnRuPt, optimized geometry, DFT PBE
# final energy = -6.385 eV/atom
# energy of formation = -655 meV per atom
data_ScZnRuPt
_chemical_formula_sum 'Sc1 Zn1 Ru1 Pt1'
_cell_length_a 3.390
_cell_length_b 4.219
_cell_length_c 4.331
_cell_angle_alpha 90.00
_cell_angle_beta 90.00
_cell_angle_gamma 90.00
_space_group_name_H-M_alt 'P m m m'
_space_group_IT_number 47
loop_
_space_group_symop_operation_xyz
'x,y,z'
'-x,-y,-z'
'-x,-y,z'
'x,y,-z'
'x,-y,-z'
'-x,y,z'
'-x,y,-z'
'x,-y,z'
loop_
_atom_site_label
_atom_site_type_symbol
_atom_site_fract_x
_atom_site_fract_y
_atom_site_fract_z
_atom_site_occupancy
Sc1 Sc 0.000 0.000 0.000 1
Zn1 Zn 0.000 0.500 0.500 1
Ru1 Ru 0.500 0.500 0.000 1
Pt1 Pt 0.500 0.000 0.500 1

---

# TbInAu, optimized geometry, DFT PBE
# final energy = -4.297 eV/atom
# energy of formation = -748 meV per atom
data_TbInAu
_chemical_formula_sum 'Tb3 In3 Au3'
_cell_length_a 7.7416
_cell_length_b 7.7416
_cell_length_c 4.0577
_cell_angle_alpha 90.00
_cell_angle_beta 90.00
_cell_angle_gamma 120.00
_space_group_name_H-M_alt 'P -6 2 m'
_space_group_IT_number 189
_space_group_name_Hall 'P -6 -2'
loop_
_atom_site_label
_atom_site_type_symbol
_atom_site_fract_x
_atom_site_fract_y
_atom_site_fract_z
_atom_site_occupancy
Tb1 Tb 0.0000 0.5932 0.0000 1
In1 In 0.0000 0.2587 0.5000 1
Au1 Au 0.0000 0.0000 0.0000 1
Au2 Au 0.3333 0.6667 0.5000 1

---

# NaMnNi, optimized geometry, DFT PBE
# final energy = -4.909 eV/atom
# ΔE to the lowest computed polymorph = 0.2805 eV per atom
# energy of formation = 514 meV per atom
data_NaMnNi
_chemical_formula_sum 'Na2 Mn2 Ni2'
_cell_length_a 4.5995
_cell_length_b 4.5995
_cell_length_c 5.2023
_cell_angle_alpha 90.00
_cell_angle_beta 90.00
_cell_angle_gamma 120.00
_space_group_name_H-M_alt 'P 63/m m c'
_space_group_IT_number 194
_space_group_name_Hall '-P 6c 2c'
loop_
_atom_site_label
_atom_site_type_symbol
_atom_site_fract_x
_atom_site_fract_y
_atom_site_fract_z
_atom_site_occupancy
Na1 Na 0.0000 0.0000 0.0000 1
Mn1 Mn 0.3333 0.6667 0.2500 1
Ni1 Ni 0.3333 0.6667 0.7500 1

---

# RbNpInTe3, optimized geometry, DFT PBE
# final energy = -4.947 eV/atom
# raw formation energy = -3.608 eV per formula unit
data_RbNpInTe3
_chemical_formula_sum 'Rb2 Np2 In2 Te6'
_cell_length_a 9.433
_cell_length_b 4.609
_cell_length_c 11.567
_cell_angle_alpha 90.00
_cell_angle_beta 114.01
_cell_angle_gamma 90.00
_space_group_name_H-M_alt 'P 1 21/m 1'
_space_group_IT_number 11
loop_
_space_group_symop_operation_xyz
'x,y,z'
'-x,-y,-z'
'-x,y+1/2,-z'
'x,-y+1/2,z'
loop_
_atom_site_label
_atom_site_type_symbol
_atom_site_fract_x
_atom_site_fract_y
_atom_site_fract_z
_atom_site_occupancy
Rb1 Rb 0.242 0.250 0.241 1
Np1 Np 0.204 0.750 0.640 1
In1 In 0.397 0.250 0.865 1
Te1 Te 0.016 0.750 0.351 1
Te2 Te 0.269 0.750 0.959 1
Te3 Te 0.419 0.250 0.610 1

---

# TbCeTe2Cl, optimized geometry, DFT PBE
# final energy = -5.321 eV/atom
# raw formation energy = -7.913 eV per formula unit
data_TbCeTe2Cl
_chemical_formula_sum 'Tb2 Ce2 Te4 Cl2'
_cell_length_a 4.390
_cell_length_b 4.390
_cell_length_c 15.098
_cell_angle_alpha 90.00
_cell_angle_beta 90.00
_cell_angle_gamma 90.00
_space_group_name_H-M_alt 'P 4/n m m'
_space_group_IT_number 129
loop_
_space_group_symop_operation_xyz
'x,y,z'
'-x,-y,-z'
'-y+1/2,x,z'
'y+1/2,-x,-z'
'-x+1/2,-y+1/2,z'
'x+1/2,y+1/2,-z'
'y,-x+1/2,z'
'-y,x+1/2,-z'
'x+1/2,-y,-z'
'-x+1/2,y,z'
'-y,-x,-z'
'y,x,z'
'-x,y+1/2,-z'
'x,-y+1/2,z'
'y+1/2,x+1/2,-z'
'-y+1/2,-x+1/2,z'
loop_
_atom_site_label
_atom_site_type_symbol
_atom_site_fract_x
_atom_site_fract_y
_atom_site_fract_z
_atom_site_occupancy
Tb1 Tb 0.250 0.250 0.087 1
Ce1 Ce 0.250 0.250 0.634 1
Te1 Te 0.250 0.250 0.295 1
Te2 Te 0.250 0.250 0.881 1
Cl1 Cl 0.250 0.750 0.500 1

---

# CaPr2ThBi4, optimized geometry, DFT PBE
# final energy = -5.152 eV/atom
# energy of formation = -839 meV per atom
data_CaPr2ThBi4
_chemical_formula_sum 'Ca1 Pr2 Th1 Bi4'
_cell_length_a 7.995
_cell_length_b 4.639
_cell_length_c 8.019
_cell_angle_alpha 90.00
_cell_angle_beta 109.32
_cell_angle_gamma 90.00
_space_group_name_H-M_alt 'P 1 2/m 1'
_space_group_IT_number 10
loop_
_space_group_symop_operation_xyz
'x,y,z'
'-x,-y,-z'
'-x,y,-z'
'x,-y,z'
loop_
_atom_site_label
_atom_site_type_symbol
_atom_site_fract_x
_atom_site_fract_y
_atom_site_fract_z
_atom_site_occupancy
Ca1 Ca 0.000 0.000 0.000 1
Pr1 Pr 0.000 0.500 0.500 1
Pr2 Pr 0.500 0.000 0.500 1
Th1 Th 0.500 0.500 0.000 1
Bi1 Bi 0.251 0.500 0.247 1
Bi2 Bi 0.252 0.000 0.754 1

---

# Cs8Hg2Pt, optimized geometry, DFT PBE
# final energy = -1.322 eV/atom
# energy of formation = -97 meV per atom
data_Cs8Hg2Pt
_chemical_formula_sum 'Cs16 Hg4 Pt2'
_cell_length_a 17.289
_cell_length_b 9.453
_cell_length_c 10.240
_cell_angle_alpha 90.00
_cell_angle_beta 91.06
_cell_angle_gamma 90.00
_space_group_name_H-M_alt 'C 1 2/m 1'
_space_group_IT_number 12
loop_
_space_group_symop_operation_xyz
'x,y,z'
'-x,-y,-z'
'-x,y,-z'
'x,-y,z'
'x+1/2,y+1/2,z'
'-x+1/2,-y+1/2,-z'
'-x+1/2,y+1/2,-z'
'x+1/2,-y+1/2,z'
loop_
_atom_site_label
_atom_site_type_symbol
_atom_site_fract_x
_atom_site_fract_y
_atom_site_fract_z
_atom_site_occupancy
Cs1 Cs 0.038 0.242 0.229 1
Cs2 Cs 0.185 0.000 0.899 1
Cs3 Cs 0.201 0.500 0.590 1
Hg1 Hg 0.087 0.000 0.538 1
Pt1 Pt 0.000 0.000 0.000 1

---

# Ca2PrBiO6, optimized geometry, DFT PBE
# final energy = -6.610 eV/atom
# raw formation energy = -23.688 eV per formula unit
data_Ca2PrBiO6
_chemical_formula_sum 'Ca6 Pr3 Bi3 O18'
_cell_length_a 5.9071
_cell_length_b 5.9071
_cell_length_c 15.4414
_cell_angle_alpha 90.00
_cell_angle_beta 90.00
_cell_angle_gamma 120.00
_space_group_name_H-M_alt 'R 3'
_space_group_IT_number 146
_space_group_name_Hall 'R 3'
loop_
_atom_site_label
_atom_site_type_symbol
_atom_site_fract_x
_atom_site_fract_y
_atom_site_fract_z
_atom_site_occupancy
Ca1 Ca 0.0000 0.0000 0.0000 1
Ca2 Ca 0.0000 0.0000 0.4952 1
Pr1 Pr 0.0000 0.0000 0.2761 1
Bi1 Bi 0.0000 0.0000 0.7872 1
O1 O 0.0063 0.3802 0.0533 1
O2 O 0.0094 0.7254 0.8801 1

---

# Pr6P2AuSe3, optimized geometry, DFT PBE
# final energy = -6.027 eV/atom
# raw formation energy = -19.092 eV per formula unit
data_Pr6P2AuSe3
_chemical_formula_sum 'Pr12 P4 Au2 Se6'
_cell_length_a 18.610
_cell_length_b 4.224
_cell_length_c 8.604
_cell_angle_alpha 90.00
_cell_angle_beta 103.37
_cell_angle_gamma 90.00
_space_group_name_H-M_alt 'C 1 2/m 1'
_space_group_IT_number 12
loop_
_space_group_symop_operation_xyz
'x,y,z'
'-x,-y,-z'
'-x,y,-z'
'x,-y,z'
'x+1/2,y+1/2,z'
'-x+1/2,-y+1/2,-z'
'-x+1/2,y+1/2,-z'
'x+1/2,-y+1/2,z'
loop_
_atom_site_label
_atom_site_type_symbol
_atom_site_fract_x
_atom_site_fract_y
_atom_site_fract_z
_atom_site_occupancy
Pr1 Pr 0.005 0.000 0.256 1
Pr2 Pr 0.170 0.500 0.099 1
Pr3 Pr 0.171 0.500 0.574 1
P1 P 0.167 0.000 0.335 1
Au1 Au 0.000 0.500 0.000 1
Se1 Se 0.000 0.500 0.500 1
Se2 Se 0.165 0.000 0.833 1

---

# LaPSe4, optimized geometry, DFT PBE
# final energy = -4.841 eV/atom
# raw formation energy = -4.768 eV per formula unit
data_LaPSe4
_chemical_formula_sum 'La4 P4 Se16'
_cell_length_a 9.812
_cell_length_b 9.812
_cell_length_c 7.712
_cell_angle_alpha 90.00
_cell_angle_beta 90.00
_cell_angle_gamma 90.00
_space_group_name_H-M_alt 'I 41/a m d'
_space_group_IT_number 141
loop_
_space_group_symop_operation_xyz
'x,y,z'
'-x,-y,-z'
'-y+1/4,x+3/4,z+1/4'
'y+1/4,-x+3/4,-z+1/4'
'-x+1/2,-y,z+1/2'
'x+1/2,y,-z+1/2'
'y+1/4,-x+1/4,z+3/4'
'-y+1/4,x+1/4,-z+3/4'
'x,-y,-z'
'-x,y,z'
'-y+1/4,-x+1/4,-z+3/4'
'y+1/4,x+1/4,z+3/4'
'-x+1/2,y,-z+1/2'
'x+1/2,-y,z+1/2'
'y+1/4,x+3/4,-z+1/4'
'-y+1/4,-x+3/4,z+1/4'
'x+1/2,y+1/2,z+1/2'
'-x+1/2,-y+1/2,-z+1/2'
'-y+3/4,x+1/4,z+3/4'
'y+3/4,-x+1/4,-z+3/4'
'-x,-y+1/2,z'
'x,y+1/2,-z'
'y+3/4,-x+3/4,z+1/4'
'-y+3/4,x+3/4,-z+1/4'
'x+1/2,-y+1/2,-z+1/2'
'-x+1/2,y+1/2,z+1/2'
'-y+3/4,-x+3/4,-z+1/4'
'y+3/4,x+3/4,z+1/4'
'-x,y+1/2,-z'
'x,-y+1/2,z'
'y+3/4,x+1/4,-z+3/4'
'-y+3/4,-x+1/4,z+3/4'
loop_
_atom_site_label
_atom_site_type_symbol
_atom_site_fract_x
_atom_site_fract_y
_atom_site_fract_z
_atom_site_occupancy
La1 La 0.000 0.250 0.375 1
P1 P 0.000 0.250 0.875 1
Se1 Se 0.000 0.073 0.691 1

---

no.,density of states at the Fermi level (states/eV/f.u.)
1,6.28
2,1.45
3,2.19
4,1.20
5,1.67
6,10.62
7,8.43
8,1.30
9,9.37
10,0.00
11,5.33
12,0.87